Entry 1:
Computed, not measured: a relaxed structure of Mn4Ge2H at the PBE level of DFT.

Values from the calculation:
Its symmetry is I4/mmm (139). The value obtained for the total magnetization is 1.313 μB per atom. Its total energy is -49.82 eV per formula unit.

Cell: 3.644 3.644 6.771 Å, 74.39 74.39 90.00°
Site moments in Bohr magnetons follow the coordinates.
Sites, in units of the cell vectors:
Ge 0.360 0.360 0.279  -0.18
Ge 0.640 0.640 0.721  -0.18
Mn 0.164 0.164 0.672  2.76
Mn 0.836 0.836 0.328  2.76
Mn 0.500 0.000 0.000  1.98
Mn 0.000 0.500 0.000  1.98
H 0.000 0.000 0.000  -0.02

---

Entry 2:
Computed, not measured: a relaxed structure of NbTc2Ir at the PBE level of DFT.

Values from the calculation:
Its symmetry is I-42d (122). The value obtained for the total magnetization is 0.000 μB per atom. Its total energy is -37.93 eV per formula unit. For the formation enthalpy at 0 K, the calculation gives 167.1 kJ/mol of formula units. The calculation puts the energy above the most stable polymorph in this dataset at 640 meV per atom.

Cell: 3.730 3.730 10.110 Å, 79.37 79.37 90.00°
Sites, in units of the cell vectors:
Tc 0.375 0.332 0.750
Tc 0.875 0.918 0.750
Tc 0.082 0.625 0.250
Ir 0.750 0.250 0.500
Ir 0.000 0.000 0.000
Nb 0.500 0.500 0.000
Nb 0.250 0.750 0.500
Tc 0.668 0.125 0.250

---

Entry 3:
Computed, not measured: a relaxed structure of AgBAu3 at the PBE level of DFT.

Values from the calculation:
Its symmetry is Pm-3m (221). The value obtained for the total magnetization is 0.000 μB per atom. Its total energy is -18.16 eV per formula unit. For the formation enthalpy at 0 K, the calculation gives 115.8 kJ/mol of formula units. The calculation puts the energy above the most stable polymorph in this dataset at 0 meV per atom.

Cell: 4.392 4.392 4.392 Å, 90.00 90.00 90.00°
Sites, in units of the cell vectors:
Ag 0.500 0.500 0.500
Au 0.000 0.500 0.000
Au 0.000 0.000 0.500
Au 0.500 0.000 0.000
B 0.000 0.000 0.000

---

Entry 4:
Computed, not measured: a relaxed structure of ZrSiSe2 at the PBE level of DFT.

Values from the calculation:
The formation energy without anion corrections is -0.567 eV per atom. Its symmetry is P4mm (99). The value obtained for the total magnetization is 0.137 μB per atom. Its total energy is -23.21 eV per formula unit.

Cell: 3.375 3.375 7.825 Å, 90.00 90.00 90.00°
Site moments in Bohr magnetons follow the coordinates.
Sites, in units of the cell vectors:
Si 0.000 0.000 0.504  0.00
Se 0.000 0.000 0.913  0.01
Zr 0.500 0.500 0.727  0.24
Se 0.500 0.500 0.357  0.07

---

Entry 5:
Computed, not measured: a relaxed structure of SrCa2MgIr at the PBE level of DFT.

Values from the calculation:
Its symmetry is P4/mmm (123). The value obtained for the total magnetization is 0.000 μB per atom. Its total energy is -16.72 eV per formula unit. For the formation enthalpy at 0 K, the calculation gives -55.6 kJ/mol of formula units. The calculation puts the energy above the most stable polymorph in this dataset at 42 meV per atom.

Cell: 5.529 5.529 5.821 Å, 90.00 90.00 90.00°
Sites, in units of the cell vectors:
Ir 0.000 0.000 0.000
Ca 0.000 0.500 0.000
Mg 0.500 0.500 0.500
Sr 0.000 0.000 0.500
Ca 0.500 0.000 0.000

---

- What is the formula in the second record?
  NbTc2Ir